! LiMg2Ga2Pd5 | the Alexandria database | PBE | optimized geometry; values from VASP
&SYSTEM
  ibrav = 0, nat = 20, ntyp = 4
/
ATOMIC_SPECIES
Pd 106.42 Pd.upf
Mg 24.30 Mg.upf
Ga 69.72 Ga.upf
Li 6.94 Li.upf
ATOMIC_POSITIONS angstrom
Pd 1.831 6.567 3.997
Mg 0.000 1.604 3.110
Ga 0.000 8.206 3.491
Ga 0.000 1.224 5.938
Pd 1.831 0.000 4.715
Li 0.000 0.000 0.000
Mg 0.000 6.319 1.604
Mg 0.000 7.825 6.319
Mg 0.000 3.110 7.825
Pd 1.831 5.432 6.567
Pd 1.831 3.997 2.862
Pd 1.831 8.711 1.852
Pd 1.831 4.715 0.000
Pd 1.831 0.718 7.577
Pd 1.831 2.862 5.432
Ga 0.000 3.491 1.224
Pd 1.831 7.577 8.711
Li 0.000 4.715 4.715
Ga 0.000 5.938 8.206
Pd 1.831 1.852 0.718
CELL_PARAMETERS angstrom
3.662 0.000 0.000
0.000 9.429 0.000
0.000 0.000 9.429
! Fermi-level density of states, states/eV/f.u.: 2.3
! Raw total energy, eV for the cell shown: -85.4
! Energy of formation, kJ/mol of atoms: -53.8
! Symmetry: P4/mbm, No. 127